Record 1
Crystalline Y2HfCrTe at its relaxed geometry. Source: the Alexandria database, functional PBE-GGA.

Computed properties:
Volume, A^3/atom: 26.5
D(E_F), states/eV/cell: 5.59
SG: P4/mmm, No. 123
Energy relative to the elements, uncorrected, eV per atom: 0.5423

```
Y2HfCrTe
1.0
5.199 0.000 0.000
0.000 5.199 0.000
0.000 0.000 4.910
Y Hf Cr Te
2 1 1 1
direct
0.000 0.500 0.000
0.500 0.000 0.000
0.000 0.000 0.500
0.500 0.500 0.000
0.500 0.500 0.500
```

***

Record 2
Crystalline Hf2ThCr at its relaxed geometry. Source: the Alexandria database, functional PBE-GGA.

Computed properties:
Energy of formation, eV per formula unit: 1.886
Volume, A^3/atom: 22.6
D(E_F), states/eV/cell: 4.77
SG: R-3m, No. 166

```
Hf2ThCr
1.0
1.600 0.924 10.200
-1.600 0.924 10.200
0.000 -1.848 10.200
Hf Th Cr
2 1 1
direct
0.104 0.104 0.104
0.896 0.896 0.896
0.000 0.000 0.000
0.500 0.500 0.500
```